No. 1
First-principles (PBE) data for a relaxed Te4H4WAuN crystal, as listed in the Open Quantum Materials Database.

Properties
total DFT energy (no corrections)	-4.721	eV/atom
SG	P1

a b c (Å): 6.017 6.971 6.973
angles (deg): 79.30 64.45 64.49
Sites, in units of the cell vectors:
Au1 0.750 0.500 0.501
Te1 0.899 0.840 0.414
Te2 0.261 0.586 0.841
Te3 0.687 0.414 0.160
Te4 0.153 0.160 0.587
H1 0.513 0.057 0.121
H2 0.435 0.877 0.059
H3 0.686 0.942 0.874
H4 0.367 0.124 0.944
N1 0.500 0.000 0.999
W1 0.250 0.500 0.501

=====

No. 2
First-principles (PBE) data for a relaxed NaH3Au crystal, as listed in the Open Quantum Materials Database.

Properties
SG	P1
offset from the most stable computed form	0.00	kcal/mol of atoms

a b c (Å): 3.541 5.560 7.451
angles (deg): 100.37 101.92 106.49
Sites, in units of the cell vectors:
Na1 0.768 0.104 0.930
Na2 0.771 0.608 0.431
Au1 0.370 0.501 0.740
Au2 0.164 0.703 0.118
H1 0.826 0.153 0.477
H2 0.259 0.978 0.055
H3 0.087 0.443 0.206
H4 0.450 0.764 0.656
H5 0.663 0.067 0.385
H6 0.271 0.223 0.800

=====

No. 3
First-principles (PBE) data for a relaxed NaH3Au crystal, as listed in the Open Quantum Materials Database.

Properties
SG	C2/m
offset from the most stable computed form	0.57	kcal/mol of atoms

a b c (Å): 5.398 5.398 5.321
angles (deg): 119.43 119.43 59.01
Sites, in units of the cell vectors:
H1 0.279 0.279 0.280
H2 0.721 0.721 0.720
H3 0.768 0.232 0.232
H4 0.232 0.768 0.768
H5 0.232 0.768 0.232
H6 0.768 0.232 0.768
Na1 0.750 0.750 0.251
Na2 0.250 0.250 0.749
Au1 0.500 0.500 0.500
Au2 0.000 0.000 0.000